This record from Alexandria via LeMat-Bulk describes a relaxed BaMgP2 crystal. The functional is PBE.

Output
M_tot: 0.0 μB/cell
calculated total energy: -4.0085 eV per atom
Fermi-level density of states: 4.54 states/eV/f.u.
energy of formation: -0.424 eV/atom

abc: 6.3735 6.3735 6.3735
angles: 40.81 40.81 40.81
Positions (direct):
P (0.4715, 0.4715, 0.4715)
P (0.0285, 0.0285, 0.0285)
Ba (0.2500, 0.2500, 0.2500)
Mg (0.7500, 0.7500, 0.7500)


This record from Alexandria via LeMat-Bulk describes a relaxed CeZr12Sn6 crystal. The functional is PBE.

Output
M_tot: 0.0 μB/cell
calculated total energy: -6.9335 eV per atom
Fermi-level density of states: 18.26 states/eV/f.u.
energy of formation: 0.042 eV/atom

abc: 7.9877 7.9877 7.9877
angles: 100.79 100.79 100.79
Positions (direct):
Zr (0.4044, 0.5156, 0.2063)
Zr (0.3317, 0.0578, 0.0109)
Zr (0.9422, 0.9891, 0.6683)
Zr (0.0109, 0.3317, 0.0578)
Zr (0.9891, 0.6683, 0.9422)
Zr (0.5156, 0.2063, 0.4044)
Zr (0.4844, 0.7937, 0.5956)
Zr (0.5956, 0.4844, 0.7937)
Zr (0.7937, 0.5956, 0.4844)
Zr (0.0578, 0.0109, 0.3317)
Zr (0.2063, 0.4044, 0.5156)
Zr (0.6683, 0.9422, 0.9891)
Ce (0.0000, 0.0000, 0.0000)
Sn (0.8853, 0.3329, 0.6688)
Sn (0.3312, 0.1147, 0.6671)
Sn (0.6671, 0.3312, 0.1147)
Sn (0.6688, 0.8853, 0.3329)
Sn (0.3329, 0.6688, 0.8853)
Sn (0.1147, 0.6671, 0.3312)


This record from Alexandria via LeMat-Bulk describes a relaxed ReTcW2 crystal. The functional is PBE.

Output
M_tot: 0.0 μB/cell
calculated total energy: -11.9704 eV per atom
Fermi-level density of states: 4.63 states/eV/f.u.
energy of formation: 0.210 eV/atom

abc: 4.7998 4.7998 4.7998
angles: 130.55 130.55 72.53
Positions (direct):
Re (0.2500, 0.7500, 0.5000)
W (0.0000, 0.0000, 0.0000)
W (0.5000, 0.5000, 0.0000)
Tc (0.7500, 0.2500, 0.5000)


Please write out number 3 again, unchanged.
This record from Alexandria via LeMat-Bulk describes a relaxed ReTcW2 crystal. The functional is PBE.

Output
M_tot: 0.0 μB/cell
calculated total energy: -11.9704 eV per atom
Fermi-level density of states: 4.63 states/eV/f.u.
energy of formation: 0.210 eV/atom

abc: 4.7998 4.7998 4.7998
angles: 130.55 130.55 72.53
Positions (direct):
Re (0.2500, 0.7500, 0.5000)
W (0.0000, 0.0000, 0.0000)
W (0.5000, 0.5000, 0.0000)
Tc (0.7500, 0.2500, 0.5000)


What is the Fermi-level density of states in the first record?
4.54 states/eV/f.u.